[1]
This record from Alexandria describes Ca2TiMnBr after structural relaxation. The functional is PBE.

Geometry as POSCAR:
```
Ca2TiMnBr
1.0
5.5120 0.0000 0.0000
0.0000 4.8298 0.0000
0.0000 0.0000 5.5120
Ca Mn Br Ti
2 1 1 1
direct
0.0000 0.0000 0.5000
0.5000 0.0000 0.0000
0.5000 0.5000 0.5000
0.0000 0.0000 0.0000
0.0000 0.5000 0.0000
```

Calculated values
* formation energy from raw total energies: 0.347 eV per atom

=====

[2]
This record from Alexandria describes Ca2MnTlBr after structural relaxation. The functional is PBE.

Geometry as POSCAR:
```
Ca2MnTlBr
1.0
6.0197 0.0000 0.0000
0.0000 5.1382 0.0000
0.0000 0.0000 6.0197
Tl Mn Ca Br
1 1 2 1
direct
0.0000 0.0000 0.0000
0.0000 0.5000 0.0000
0.0000 0.0000 0.5000
0.5000 0.0000 0.0000
0.5000 0.5000 0.5000
```

Calculated values
* formation energy from raw total energies: -0.038 eV per atom

=====

[3]
This record from Alexandria describes CaMnTl2Br after structural relaxation. The functional is PBE.

Geometry as POSCAR:
```
CaMnTl2Br
1.0
6.0450 0.0000 0.0000
0.0000 4.8369 0.0000
0.0000 0.0000 6.0450
Tl Mn Ca Br
2 1 1 1
direct
0.0000 0.0000 0.5000
0.5000 0.0000 0.0000
0.0000 0.5000 0.0000
0.5000 0.5000 0.5000
0.0000 0.0000 0.0000
```

Calculated values
* formation energy from raw total energies: 0.296 eV per atom

=====

[4]
This record from Alexandria describes Ca2MnTlBr8 after structural relaxation. The functional is PBE.

Geometry as POSCAR:
```
Ca2MnTlBr8
1.0
7.0816 0.1525 -0.0045
0.1887 6.5668 -0.0070
0.0065 0.0104 8.8117
Ca Mn Tl Br
2 1 1 8
direct
0.5000 0.5000 0.7628
0.5000 0.5000 0.2372
0.0000 0.0000 0.0000
0.0000 0.0000 0.5000
0.1429 0.7731 0.1960
0.6623 0.7439 0.0000
0.8570 0.2268 0.1960
0.8571 0.2269 0.8040
0.3377 0.2561 0.0000
0.1430 0.7732 0.8040
0.6508 0.7072 0.5000
0.3492 0.2928 0.5000
```

Calculated values
* formation energy from raw total energies: -1.309 eV per atom

=====

[5]
This record from Alexandria describes CaMnTlBr5 after structural relaxation. The functional is PBE.

Geometry as POSCAR:
```
CaMnTlBr5
1.0
7.9495 0.0448 -0.0547
-2.2777 7.6163 -0.0547
-2.4309 -3.2836 9.6366
Ca Mn Tl Br
2 2 2 10
direct
0.0000 0.0000 0.5000
0.0000 0.0000 0.0000
0.6818 0.3182 0.2500
0.3182 0.6818 0.7500
0.3413 0.6587 0.2500
0.6587 0.3413 0.7500
0.0857 0.9143 0.2500
0.9143 0.0857 0.7500
0.9100 0.3270 0.1203
0.0900 0.6730 0.8797
0.6730 0.0900 0.3797
0.3270 0.9100 0.6203
0.7420 0.6159 0.4359
0.2580 0.3841 0.5641
0.3841 0.2580 0.0641
0.6159 0.7420 0.9359
```

Calculated values
* formation energy from raw total energies: -1.265 eV per atom

=====

[6]
This record from Alexandria describes Ca2MoBr after structural relaxation. The functional is PBE.

Geometry as POSCAR:
```
Ca2MoBr
1.0
5.3158 0.0000 0.0000
2.6579 4.6036 0.0000
2.6579 1.5345 4.3403
Mo Ca Br
1 2 1
direct
0.7500 0.7500 0.7500
0.0000 0.0000 0.0000
0.2500 0.2500 0.2500
0.5000 0.5000 0.5000
```

Calculated values
* formation energy from raw total energies: 0.644 eV per atom
* energy relative to the lowest polymorph listed for this composition: 0.732 eV/atom

=====

[7]
This record from Alexandria describes CaMoBr2 after structural relaxation. The functional is PBE.

Geometry as POSCAR:
```
CaMoBr2
1.0
5.1471 0.0000 0.0000
0.0000 5.1471 0.0000
2.5736 2.5736 8.7005
Mo Ca Br
2 2 4
direct
0.0000 0.0000 0.0000
0.7500 0.2500 0.5000
0.5000 0.5000 0.0000
0.2500 0.7500 0.5000
0.6513 0.1250 0.2500
0.0987 0.6250 0.2500
0.3750 0.3487 0.7500
0.8750 0.9013 0.7500
```

Calculated values
* formation energy from raw total energies: -0.046 eV per atom
* energy relative to the lowest polymorph listed for this composition: 0.249 eV/atom

=====

[8]
This record from Alexandria describes CaMoBr2 after structural relaxation. The functional is PBE.

Geometry as POSCAR:
```
CaMoBr2
1.0
-4.2432 2.0247 -3.8572
1.0019 -5.6195 0.7694
-2.7101 -1.4973 2.2502
Mo Ca Br
1 1 2
direct
0.5000 0.5000 0.0000
0.0000 0.5000 0.5000
0.0000 0.0000 0.0000
0.5000 0.0000 0.5000
```

Calculated values
* formation energy from raw total energies: -0.040 eV per atom
* energy relative to the lowest polymorph listed for this composition: 0.255 eV/atom

=====

[9]
This record from Alexandria describes CaMoBr2 after structural relaxation. The functional is PBE.

Geometry as POSCAR:
```
CaMoBr2
1.0
4.3632 0.0000 0.0000
0.0000 3.5893 -0.0007
0.0000 0.0810 6.0216
Mo Ca Br
1 1 2
direct
0.5000 0.7500 0.7500
0.5000 0.2500 0.2500
0.0000 0.9017 0.9857
0.0000 0.5983 0.5143
```

Calculated values
* formation energy from raw total energies: -0.075 eV per atom
* energy relative to the lowest polymorph listed for this composition: 0.220 eV/atom

=====

[10]
This record from Alexandria describes CaMoBr2 after structural relaxation. The functional is PBE.

Geometry as POSCAR:
```
CaMoBr2
1.0
6.7995 0.0543 -0.0469
5.6248 3.8208 -0.0469
0.5281 0.1647 5.4208
Mo Ca Br
1 1 2
direct
0.2500 0.2500 0.2500
0.7500 0.7500 0.7500
0.1017 0.1017 0.9642
0.3983 0.3983 0.5358
```

Calculated values
* formation energy from raw total energies: -0.208 eV per atom
* energy relative to the lowest polymorph listed for this composition: 0.087 eV/atom

=====

[11]
This record from Alexandria describes CaMoBr4 after structural relaxation. The functional is PBE.

Geometry as POSCAR:
```
CaMoBr4
1.0
0.3478 -5.8266 -2.5898
-3.4802 -4.7794 2.4129
-4.9473 -2.3285 -3.2983
Ca Mo Br
1 1 4
direct
0.7500 0.7500 0.7500
0.0000 0.0000 0.0000
0.8762 0.3746 0.3746
0.3746 0.3746 0.8762
0.3746 0.8762 0.3746
0.3746 0.3746 0.3746
```

Calculated values
* formation energy from raw total energies: 0.478 eV per atom

=====

[12]
This record from Alexandria describes Ca2MoBr after structural relaxation. The functional is PBE.

Geometry as POSCAR:
```
Ca2MoBr
1.0
6.5444 -0.0022 -0.0010
3.5344 5.5080 0.0010
-4.3558 -4.0043 2.7968
Mo Ca Br
1 2 1
direct
0.4716 0.4716 0.0000
0.0254 0.0254 0.0000
0.7193 0.2193 0.5000
0.2838 0.7838 0.5000
```

Calculated values
* formation energy from raw total energies: 0.197 eV per atom
* energy relative to the lowest polymorph listed for this composition: 0.284 eV/atom

=====

Calculated volume in Å³ per cell, matching the order above: 147; 186; 177; 410; 582; 106; 231; 105; 94; 139; 184; 101
M_tot in μB per formula unit, matching the order above: 2.10; 4.68; 4.12; 4.07; 5.00; 2.98; 4.00; 3.41; 1.47; 4.01; 3.99; 0.62